Below is a geometry-optimized PuAlSn structure, with properties calculated at the GGA-PBE level.

The structure belongs to space group R-3m (No. 166, hexagonal axes); the cell edges are 3.4900, 3.4900 and 37.9984 Å and the angles 90.00°, 90.00° and 120.00°. Symmetry generates all atoms from Pu at (0.0000, 0.0000, 0.1826), Al at (0.0000, 0.0000, 0.3584) and Sn at (0.0000, 0.0000, 0.0824).

Its calculated density is 9.69 g/cm³. The energy of formation comes out at 129.1 meV per atom. The crystal system is trigonal.